[1]
This record from Alexandria describes a geometry-optimized Ni2HgGe structure. The functional is PBE-GGA.

```
data_Ni2HgGe
_cell_length_a 6.930
_cell_length_b 4.015
_cell_length_c 9.677
_cell_angle_alpha 90.00
_cell_angle_beta 104.34
_cell_angle_gamma 90.00
_symmetry_space_group_name_H-M 'C 1 m 1'
_symmetry_Int_Tables_number 8
loop_
_symmetry_equiv_pos_as_xyz
'x,y,z'
'x,-y,z'
'x+1/2,y+1/2,z'
'x+1/2,-y+1/2,z'
loop_
_atom_site_label
_atom_site_fract_x
_atom_site_fract_y
_atom_site_fract_z
Ni1 0.000 0.000 0.000
Ni2 0.091 0.000 0.266
Ni3 0.210 0.500 0.127
Ni4 0.301 0.000 0.907
Hg1 0.213 0.000 0.627
Hg2 0.312 0.500 0.429
Ge1 0.121 0.500 0.865
Ge2 0.393 0.000 0.174
```

Offset from the most stable computed form (kJ per mole of atoms): 0.2

---

[2]
This record from Alexandria describes a geometry-optimized Li2Ca2Ga3 structure. The functional is PBE-GGA.

```
data_Li2Ca2Ga3
_cell_length_a 10.530
_cell_length_b 4.625
_cell_length_c 6.876
_cell_angle_alpha 90.00
_cell_angle_beta 115.13
_cell_angle_gamma 90.00
_symmetry_space_group_name_H-M 'C 1 2/m 1'
_symmetry_Int_Tables_number 12
loop_
_symmetry_equiv_pos_as_xyz
'x,y,z'
'-x,-y,-z'
'-x,y,-z'
'x,-y,z'
'x+1/2,y+1/2,z'
'-x+1/2,-y+1/2,-z'
'-x+1/2,y+1/2,-z'
'x+1/2,-y+1/2,z'
loop_
_atom_site_label
_atom_site_fract_x
_atom_site_fract_y
_atom_site_fract_z
Li1 0.133 0.000 0.241
Ca1 0.157 0.000 0.759
Ga1 0.000 0.500 0.000
Ga2 0.094 0.500 0.416
```

---

Number 1: total energy -4.199 eV per atom, calculated volume 16.30 Å³ per atom. Number 2: total energy -2.746 eV per atom, calculated volume 21.66 Å³ per atom.